# 1
# SrDyMnSe4 GGA-PBE relaxed
data_SrDyMnSe4
_cell_length_a 6.905
_cell_length_b 6.433
_cell_length_c 8.545
_cell_angle_alpha 90.00
_cell_angle_beta 107.33
_cell_angle_gamma 90.00
_symmetry_space_group_name_H-M 'P 1'
_symmetry_Int_Tables_number 1
loop_
_symmetry_equiv_pos_as_xyz
'x,y,z'
loop_
_atom_site_label
_atom_site_fract_x
_atom_site_fract_y
_atom_site_fract_z
Sr1 0.249 0.250 0.441
Sr2 0.751 0.750 0.559
Dy1 0.253 0.250 0.940
Dy2 0.747 0.750 0.060
Mn1 0.260 0.750 0.180
Mn2 0.740 0.250 0.820
Se1 0.063 0.750 0.899
Se2 0.070 0.750 0.373
Se3 0.485 0.510 0.771
Se4 0.485 0.990 0.771
Se5 0.515 0.010 0.229
Se6 0.515 0.490 0.229
Se7 0.930 0.250 0.627
Se8 0.937 0.250 0.101
# DOS(E_F)	3.620	states/eV per cell
# calculated density	5.69	Mg/m³
# formation energy (no corrections)	-905	kJ/mol of formula units



# 2
# Dy3MnTl4Se8 GGA-PBE relaxed
data_Dy3MnTl4Se8
_cell_length_a 9.013
_cell_length_b 9.013
_cell_length_c 9.013
_cell_angle_alpha 54.40
_cell_angle_beta 54.40
_cell_angle_gamma 54.40
_symmetry_space_group_name_H-M 'P 1'
_symmetry_Int_Tables_number 1
loop_
_symmetry_equiv_pos_as_xyz
'x,y,z'
loop_
_atom_site_label
_atom_site_fract_x
_atom_site_fract_y
_atom_site_fract_z
Dy1 0.000 0.500 0.500
Dy2 0.500 0.000 0.500
Dy3 0.500 0.500 0.000
Mn1 0.000 0.000 0.000
Tl1 0.000 0.000 0.500
Tl2 0.000 0.500 0.000
Tl3 0.500 0.000 0.000
Tl4 0.500 0.500 0.500
Se1 0.225 0.225 0.749
Se2 0.225 0.749 0.225
Se3 0.251 0.775 0.775
Se4 0.264 0.264 0.264
Se5 0.736 0.736 0.736
Se6 0.749 0.225 0.225
Se7 0.775 0.251 0.775
Se8 0.775 0.775 0.251
# DOS(E_F)	3.686	states/eV per cell
# calculated density	7.35	Mg/m³
# formation energy (no corrections)	-1714	kJ/mol of formula units



# 3
# DyMnTl2Se4 GGA-PBE relaxed
data_DyMnTl2Se4
_cell_length_a 8.458
_cell_length_b 8.458
_cell_length_c 8.458
_cell_angle_alpha 120.24
_cell_angle_beta 119.87
_cell_angle_gamma 89.90
_symmetry_space_group_name_H-M 'P 1'
_symmetry_Int_Tables_number 1
loop_
_symmetry_equiv_pos_as_xyz
'x,y,z'
loop_
_atom_site_label
_atom_site_fract_x
_atom_site_fract_y
_atom_site_fract_z
Dy1 0.000 0.000 0.000
Dy2 0.500 0.000 0.500
Mn1 0.500 0.000 0.000
Mn2 0.500 0.500 0.500
Tl1 0.000 0.000 0.500
Tl2 0.000 0.500 0.000
Tl3 0.000 0.500 0.500
Tl4 0.500 0.500 0.000
Se1 0.271 0.248 0.477
Se2 0.271 0.794 0.023
Se3 0.283 0.240 0.043
Se4 0.303 0.760 0.543
Se5 0.697 0.240 0.457
Se6 0.717 0.760 0.957
Se7 0.729 0.206 0.977
Se8 0.729 0.752 0.523
# DOS(E_F)	7.392	states/eV per cell
# calculated density	7.32	Mg/m³
# formation energy (no corrections)	-628	kJ/mol of formula units



# 4
# Dy2YMnSe6 GGA-PBE relaxed
data_Dy2YMnSe6
_cell_length_a 7.029
_cell_length_b 7.037
_cell_length_c 7.500
_cell_angle_alpha 90.09
_cell_angle_beta 117.87
_cell_angle_gamma 119.93
_symmetry_space_group_name_H-M 'P 1'
_symmetry_Int_Tables_number 1
loop_
_symmetry_equiv_pos_as_xyz
'x,y,z'
loop_
_atom_site_label
_atom_site_fract_x
_atom_site_fract_y
_atom_site_fract_z
Dy1 0.000 0.000 0.000
Dy2 0.006 0.503 0.509
Y1 0.396 0.698 0.094
Mn1 0.389 0.194 0.583
Se1 0.226 0.407 0.320
Se2 0.234 0.300 0.802
Se3 0.501 0.094 0.321
Se4 0.502 0.934 0.803
Se5 0.868 0.568 0.803
Se6 0.914 0.819 0.320
# DOS(E_F)	4.547	states/eV per cell
# calculated density	5.79	Mg/m³
# formation energy (no corrections)	-1372	kJ/mol of formula units



# 5
# DyMn3Si3 GGA-PBE relaxed
data_DyMn3Si3
_cell_length_a 6.309
_cell_length_b 6.309
_cell_length_c 6.309
_cell_angle_alpha 90.00
_cell_angle_beta 90.00
_cell_angle_gamma 90.00
_symmetry_space_group_name_H-M 'P 1'
_symmetry_Int_Tables_number 1
loop_
_symmetry_equiv_pos_as_xyz
'x,y,z'
loop_
_atom_site_label
_atom_site_fract_x
_atom_site_fract_y
_atom_site_fract_z
Dy1 0.000 0.000 0.000
Dy2 0.500 0.500 0.500
Mn1 0.000 0.250 0.500
Mn2 0.000 0.750 0.500
Mn3 0.250 0.500 0.000
Mn4 0.500 0.000 0.250
Mn5 0.500 0.000 0.750
Mn6 0.750 0.500 0.000
Si1 0.000 0.500 0.250
Si2 0.000 0.500 0.750
Si3 0.250 0.000 0.500
Si4 0.500 0.250 0.000
Si5 0.500 0.750 0.000
Si6 0.750 0.000 0.500
# DOS(E_F)	8.095	states/eV per cell
# calculated density	5.44	Mg/m³
# formation energy (no corrections)	137	kJ/mol of formula units



# 6
# DyMn5Si3 GGA-PBE relaxed
data_DyMn5Si3
_cell_length_a 6.360
_cell_length_b 6.360
_cell_length_c 11.084
_cell_angle_alpha 90.00
_cell_angle_beta 90.00
_cell_angle_gamma 144.91
_symmetry_space_group_name_H-M 'P 1'
_symmetry_Int_Tables_number 1
loop_
_symmetry_equiv_pos_as_xyz
'x,y,z'
loop_
_atom_site_label
_atom_site_fract_x
_atom_site_fract_y
_atom_site_fract_z
Dy1 0.169 0.831 0.750
Dy2 0.831 0.169 0.250
Mn1 0.000 0.000 0.000
Mn2 0.000 0.000 0.500
Mn3 0.192 0.808 0.054
Mn4 0.192 0.808 0.446
Mn5 0.442 0.558 0.648
Mn6 0.442 0.558 0.852
Mn7 0.558 0.442 0.148
Mn8 0.558 0.442 0.352
Mn9 0.808 0.192 0.554
Mn10 0.808 0.192 0.946
Si1 0.123 0.877 0.250
Si2 0.382 0.618 0.057
Si3 0.382 0.618 0.443
Si4 0.618 0.382 0.557
Si5 0.618 0.382 0.943
Si6 0.877 0.123 0.750
# DOS(E_F)	12.982	states/eV per cell
# calculated density	6.72	Mg/m³
# formation energy (no corrections)	-317	kJ/mol of formula units



# 7
# DyMn3Si2 GGA-PBE relaxed
data_DyMn3Si2
_cell_length_a 7.277
_cell_length_b 7.277
_cell_length_c 7.160
_cell_angle_alpha 114.86
_cell_angle_beta 114.86
_cell_angle_gamma 31.23
_symmetry_space_group_name_H-M 'P 1'
_symmetry_Int_Tables_number 1
loop_
_symmetry_equiv_pos_as_xyz
'x,y,z'
loop_
_atom_site_label
_atom_site_fract_x
_atom_site_fract_y
_atom_site_fract_z
Dy1 0.147 0.147 0.064
Dy2 0.853 0.853 0.936
Mn1 0.038 0.038 0.383
Mn2 0.301 0.301 0.524
Mn3 0.416 0.416 0.367
Mn4 0.584 0.584 0.633
Mn5 0.699 0.699 0.476
Mn6 0.962 0.962 0.617
Si1 0.190 0.190 0.700
Si2 0.477 0.477 0.811
Si3 0.523 0.523 0.189
Si4 0.810 0.810 0.300
# DOS(E_F)	9.084	states/eV per cell
# calculated density	7.20	Mg/m³
# formation energy (no corrections)	-266	kJ/mol of formula units



# 8
# DyMn2Si3 GGA-PBE relaxed
data_DyMn2Si3
_cell_length_a 5.997
_cell_length_b 5.997
_cell_length_c 5.121
_cell_angle_alpha 90.00
_cell_angle_beta 90.00
_cell_angle_gamma 76.03
_symmetry_space_group_name_H-M 'P 1'
_symmetry_Int_Tables_number 1
loop_
_symmetry_equiv_pos_as_xyz
'x,y,z'
loop_
_atom_site_label
_atom_site_fract_x
_atom_site_fract_y
_atom_site_fract_z
Dy1 0.165 0.835 0.750
Dy2 0.835 0.165 0.250
Mn1 0.297 0.297 0.000
Mn2 0.297 0.297 0.500
Mn3 0.703 0.703 0.000
Mn4 0.703 0.703 0.500
Si1 0.034 0.599 0.250
Si2 0.401 0.966 0.250
Si3 0.439 0.561 0.250
Si4 0.561 0.439 0.750
Si5 0.599 0.034 0.750
Si6 0.966 0.401 0.750
# DOS(E_F)	7.407	states/eV per cell
# calculated density	6.63	Mg/m³
# formation energy (no corrections)	-303	kJ/mol of formula units



# 9
# DyMn9Si4 GGA-PBE relaxed
data_DyMn9Si4
_cell_length_a 8.025
_cell_length_b 8.025
_cell_length_c 8.025
_cell_angle_alpha 121.62
_cell_angle_beta 121.62
_cell_angle_gamma 87.22
_symmetry_space_group_name_H-M 'P 1'
_symmetry_Int_Tables_number 1
loop_
_symmetry_equiv_pos_as_xyz
'x,y,z'
loop_
_atom_site_label
_atom_site_fract_x
_atom_site_fract_y
_atom_site_fract_z
Dy1 0.250 0.250 0.000
Dy2 0.750 0.750 0.000
Mn1 0.000 0.500 0.500
Mn2 0.057 0.557 0.261
Mn3 0.058 0.810 0.868
Mn4 0.190 0.058 0.248
Mn5 0.204 0.943 0.500
Mn6 0.296 0.796 0.739
Mn7 0.310 0.558 0.868
Mn8 0.442 0.310 0.752
Mn9 0.443 0.704 0.500
Mn10 0.500 0.000 0.500
Mn11 0.557 0.296 0.500
Mn12 0.558 0.690 0.248
Mn13 0.690 0.442 0.132
Mn14 0.704 0.204 0.261
Mn15 0.796 0.057 0.500
Mn16 0.810 0.942 0.752
Mn17 0.942 0.190 0.132
Mn18 0.943 0.443 0.739
Si1 0.054 0.201 0.500
Si2 0.201 0.701 0.147
Si3 0.299 0.446 0.500
Si4 0.446 0.946 0.147
Si5 0.554 0.054 0.853
Si6 0.701 0.554 0.500
Si7 0.799 0.299 0.853
Si8 0.946 0.799 0.500
# DOS(E_F)	23.258	states/eV per cell
# calculated density	7.18	Mg/m³
# formation energy (no corrections)	-520	kJ/mol of formula units



# 10
# DyTiMnSi2 GGA-PBE relaxed
data_DyTiMnSi2
_cell_length_a 6.162
_cell_length_b 6.162
_cell_length_c 6.162
_cell_angle_alpha 142.92
_cell_angle_beta 142.92
_cell_angle_gamma 53.45
_symmetry_space_group_name_H-M 'P 1'
_symmetry_Int_Tables_number 1
loop_
_symmetry_equiv_pos_as_xyz
'x,y,z'
loop_
_atom_site_label
_atom_site_fract_x
_atom_site_fract_y
_atom_site_fract_z
Dy1 0.000 0.000 0.000
Ti1 0.250 0.750 0.500
Mn1 0.750 0.250 0.500
Si1 0.391 0.391 0.000
Si2 0.609 0.609 0.000
# DOS(E_F)	2.605	states/eV per cell
# calculated density	6.32	Mg/m³
# formation energy (no corrections)	-320	kJ/mol of formula units



# 11
# SmDyMn GGA-PBE relaxed
data_SmDyMn
_cell_length_a 6.880
_cell_length_b 6.880
_cell_length_c 6.880
_cell_angle_alpha 150.34
_cell_angle_beta 150.34
_cell_angle_gamma 42.45
_symmetry_space_group_name_H-M 'P 1'
_symmetry_Int_Tables_number 1
loop_
_symmetry_equiv_pos_as_xyz
'x,y,z'
loop_
_atom_site_label
_atom_site_fract_x
_atom_site_fract_y
_atom_site_fract_z
Sm1 0.000 0.000 0.000
Dy1 0.273 0.273 0.000
Mn1 0.640 0.640 0.000
# DOS(E_F)	4.376	states/eV per cell
# energy of formation from the pure elements	17.5	kJ/mol of atoms
# calculated density	7.68	Mg/m³